Record 1
An optimized crystal structure of UCoS. Source: Alexandria, functional GGA-PBE.

Output
Uncorrected energy, eV/atom: -8.173
Volume, Å³ per cell: 104.6
E above lowest polymorph, eV per atom: 0.000

Cell lengths 3.698, 3.698, 7.652 Å; angles 90.00, 90.00, 90.00 degrees
Space group P4/nmm (No. 129, origin choice 2)
Inequivalent atoms, fractional coordinates:
U1 0.250 0.250 0.248 (multiplicity 2)
Co1 0.250 0.750 0.500 (multiplicity 2)
S1 0.250 0.250 0.868 (multiplicity 2)



Record 2
An optimized crystal structure of TiHgP3. Source: Alexandria, functional GGA-PBE.

Output
Uncorrected energy, eV/atom: -4.608
Volume, Å³ per cell: 106.2
DFT formation energy, eV per atom: 0.28
E above lowest polymorph, eV per atom: 0.000

Cell lengths 4.735, 4.735, 4.735 Å; angles 90.00, 90.00, 90.00 degrees
Space group Pm-3m (No. 221)
Inequivalent atoms, fractional coordinates:
Ti1 0.000 0.000 0.000 (multiplicity 1)
Hg1 0.500 0.500 0.500 (multiplicity 1)
P1 0.000 0.000 0.500 (multiplicity 3)



Record 3
An optimized crystal structure of Hf4Co3Ru. Source: Alexandria, functional GGA-PBE.

Output
Uncorrected energy, eV/atom: -9.282
Volume, Å³ per cell: 257.3
DFT formation energy, eV per atom: -0.48

Cell lengths 4.500, 4.500, 12.706 Å; angles 90.00, 90.00, 90.00 degrees
Space group I4/mmm (No. 139)
Inequivalent atoms, fractional coordinates:
Hf1 0.000 0.500 0.127 (multiplicity 8)
Co1 0.000 0.000 0.000 (multiplicity 2)
Co2 0.000 0.000 0.250 (multiplicity 4)
Ru1 0.000 0.000 0.500 (multiplicity 2)



Record 4
An optimized crystal structure of La6In3Cu. Source: Alexandria, functional GGA-PBE.

Output
Uncorrected energy, eV/atom: -4.476
Volume, Å³ per cell: 635.0
DFT formation energy, eV per atom: -0.29

Cell lengths 9.673, 11.643, 5.638 Å; angles 90.00, 90.00, 90.00 degrees
Space group Pnnm (No. 58)
Inequivalent atoms, fractional coordinates:
La1 0.001 0.234 0.000 (multiplicity 4)
La2 0.160 0.059 0.500 (multiplicity 4)
La3 0.173 0.448 0.500 (multiplicity 4)
In1 0.000 0.500 0.000 (multiplicity 2)
In2 0.166 0.753 0.500 (multiplicity 4)
Cu1 0.000 0.000 0.000 (multiplicity 2)



Record 5
An optimized crystal structure of SrAl2W. Source: Alexandria, functional GGA-PBE.

Output
Uncorrected energy, eV/atom: -5.076
Volume, Å³ per cell: 241.4
DFT formation energy, eV per atom: 0.45
E above lowest polymorph, eV per atom: 0.305

Cell lengths 3.0549, 3.0549, 29.8709 Å; angles 90.00, 90.00, 120.00 degrees
Space group R-3m (No. 166, hexagonal axes)
Inequivalent atoms, fractional coordinates:
Sr1 0.0000 0.0000 0.0000 (multiplicity 3)
Al1 0.0000 0.0000 0.2375 (multiplicity 6)
W1 0.0000 0.0000 0.5000 (multiplicity 3)



Record 6
An optimized crystal structure of HfTiMn2. Source: Alexandria, functional GGA-PBE.

Output
Uncorrected energy, eV/atom: -9.213
Volume, Å³ per cell: 58.8
DFT formation energy, eV per atom: -0.17

Cell lengths 3.087, 3.087, 6.170 Å; angles 90.00, 90.00, 90.00 degrees
Space group P4/mmm (No. 123)
Inequivalent atoms, fractional coordinates:
Hf1 0.000 0.000 0.000 (multiplicity 1)
Ti1 0.000 0.000 0.500 (multiplicity 1)
Mn1 0.500 0.500 0.266 (multiplicity 2)